# 1
## Cr2B2Ir (PBEsol)

Data for Cr2B2Ir after structural relaxation.

Cell and atoms, written as extended XYZ:
```
20
Lattice="-1.1346 -1.7652 -1.9303 0.1479 -2.6572 4.4488 -12.1841 4.4695 3.0747" Properties=species:S:1:pos:R:3 pbc="T T T"
Cr -6.9544 1.2645 2.9315
Cr -10.1211 -1.0391 4.7938
Cr -3.0497 1.0862 0.7994
Cr -3.8077 -1.4056 1.4179
Cr -9.3631 1.4527 4.1753
Cr -6.2165 -1.2174 2.6617
Cr -1.5569 -2.9267 1.4859
Cr -11.6139 2.9738 4.1073
B -1.7638 -0.8500 1.8141
B -4.6682 0.2154 2.5471
B -11.4070 0.8971 3.7791
B -2.5234 -1.7870 3.1174
B -10.6475 1.8341 2.4758
B -4.1847 -1.1775 3.5367
B -8.5026 -0.1683 3.0461
B -8.9862 1.2246 2.0565
Ir -1.6919 -0.8860 -0.3010
Ir -5.6293 0.5583 0.6926
Ir -7.5416 -0.5112 4.9006
Ir -11.4790 0.9331 5.8942
```

Results
**Excess energy over the best structure of this formula in the dataset**: 0.04 eV per formula unit
**DOS(E_F)**: 3.67 states/eV/f.u.
**SG**: Cmcm, No. 63
**Magnetic moment**: 0.88 μB/f.u.
**E_form**: -41 kJ/mol of atoms

=====

# 2
## Cr2B2Ir (PBEsol)

Data for Cr2B2Ir after structural relaxation.

Cell and atoms, written as extended XYZ:
```
20
Lattice="-0.1927 1.9224 2.1178 -3.0033 -4.9205 4.1932 8.3651 -2.5130 3.0424" Properties=species:S:1:pos:R:3 pbc="T T T"
Cr -1.3559 -3.3834 4.8880
Cr 6.5250 -2.1277 4.4654
Cr 3.2902 -4.9995 4.8376
Cr 2.0716 -2.4340 2.3979
Cr 5.4026 -3.9637 6.0299
Cr -0.2335 -1.5473 3.3235
Cr 0.1879 -5.5175 5.0255
Cr 5.1739 -1.9160 2.2101
B 3.4253 -0.7812 2.9610
B 1.7437 -4.7298 6.3924
B 6.9086 -4.3024 4.5342
B -1.5468 -3.1311 2.7014
B 1.7977 -0.3434 2.4156
B 3.3713 -5.1676 6.9379
B 5.3339 -3.7781 3.9149
B 0.0279 -3.6554 3.3207
Ir 1.3402 -3.1156 4.8903
Ir 3.8289 -2.3954 4.4631
Ir 4.8745 -6.5531 6.3922
Ir 0.4873 -0.8803 0.8434
```

Results
**Excess energy over the best structure of this formula in the dataset**: 0.00 eV per formula unit
**DOS(E_F)**: 3.33 states/eV/f.u.
**SG**: Pnnm, No. 58
**Magnetic moment**: 0.00 μB/f.u.
**E_form**: -41 kJ/mol of atoms

=====

# 3
## K2CrB (PBEsol)

Data for K2CrB after structural relaxation.

Cell and atoms, written as extended XYZ:
```
8
Lattice="4.0571 0.0000 0.0000 2.0286 8.4277 0.0000 2.0286 0.0000 8.4277" Properties=species:S:1:pos:R:3 pbc="T T T"
Cr 0.0000 0.0000 0.0000
Cr 5.0714 4.2139 4.2139
K 3.5500 1.6216 5.8355
K 3.5500 6.8061 2.5922
K 2.5357 2.5922 1.6216
K 6.5928 5.8355 6.8061
B 2.0286 0.0000 0.0000
B 3.0428 4.2139 4.2139
```

Results
**DOS(E_F)**: 1.58 states/eV/f.u.
**SG**: I-42d, No. 122
**Magnetic moment**: 3.72 μB/f.u.
**E_form**: 97 kJ/mol of atoms

=====

# 4
## KMgCr2B (PBEsol)

Data for KMgCr2B after structural relaxation.

Cell and atoms, written as extended XYZ:
```
5
Lattice="-0.2026 3.5068 -3.6805 -5.0837 -0.1406 0.1459 -0.0013 4.2536 4.0528" Properties=species:S:1:pos:R:3 pbc="T T T"
Cr -2.5418 -0.0703 0.0730
Cr -0.1013 1.7534 -1.8403
K -0.0006 2.1268 2.0264
B -2.6438 3.8099 0.2591
Mg 0.0000 0.0000 0.0000
```

Results
**Excess energy over the best structure of this formula in the dataset**: 3.02 eV per formula unit
**DOS(E_F)**: 4.65 states/eV/f.u.
**SG**: P4/mmm, No. 123
**Magnetic moment**: 9.02 μB/f.u.
**E_form**: 230 kJ/mol of atoms

=====

# 5
## KMgCr2B (PBEsol)

Data for KMgCr2B after structural relaxation.

Cell and atoms, written as extended XYZ:
```
5
Lattice="4.3970 0.0000 0.0000 0.0000 5.2641 0.0000 0.0000 0.0000 5.2641" Properties=species:S:1:pos:R:3 pbc="T T T"
Cr 0.0000 0.0000 2.6321
Cr 0.0000 2.6321 0.0000
K 2.1985 2.6321 2.6321
B 2.1985 0.0000 0.0000
Mg 0.0000 0.0000 0.0000
```

Results
**Excess energy over the best structure of this formula in the dataset**: 0.00 eV per formula unit
**DOS(E_F)**: 2.21 states/eV/f.u.
**SG**: P4/mmm, No. 123
**Magnetic moment**: 9.42 μB/f.u.
**E_form**: 172 kJ/mol of atoms

=====

# 6
## Li3CrB2O6 (PBEsol)

Data for Li3CrB2O6 after structural relaxation.

Cell and atoms, written as extended XYZ:
```
24
Lattice="5.1988 -0.0109 0.0003 0.2240 5.6207 -0.0591 0.1895 1.2378 7.1680" Properties=species:S:1:pos:R:3 pbc="T T T"
Li 1.3903 5.8037 6.1591
Li 4.2219 1.0439 0.9501
Li 1.7105 0.3725 1.6436
Li 3.9018 6.4751 5.4656
Li 2.2864 4.9161 3.8496
Li 3.3259 1.9316 3.2596
Cr 0.6990 3.2692 1.4041
Cr 4.9132 3.5784 5.7050
B 1.0098 1.7786 4.0349
B 4.6025 5.0690 3.0742
B 2.0339 3.1563 6.3782
B 3.5783 3.6914 0.7309
O 0.6835 4.8259 2.5637
O 4.9287 2.0218 4.5455
O 1.5874 3.9514 5.3411
O 4.0248 2.8963 1.7681
O 0.7787 1.5813 0.1059
O 4.8336 5.2663 7.0033
O 1.3950 2.1293 2.7458
O 4.2172 4.7183 4.3634
O 1.9262 1.0906 4.7747
O 3.6861 5.7571 2.3345
O 2.2915 4.0806 0.5191
O 3.3208 2.7670 6.5901
```

Results
**Excess energy over the best structure of this formula in the dataset**: 0.21 eV per formula unit
**SG**: P-1, No. 2
**Magnetic moment**: 3.00 μB/f.u.
**Uncorrected formation energy**: -2.222 eV per atom

=====

# 7
## Li3CrB2O6 (PBEsol)

Data for Li3CrB2O6 after structural relaxation.

Cell and atoms, written as extended XYZ:
```
48
Lattice="-2.3866 -3.5388 3.9271 7.1272 1.0299 5.2594 -7.0530 6.1623 1.2667" Properties=species:S:1:pos:R:3 pbc="T T T"
Li -7.2850 3.0905 4.7201
Li -5.8174 1.2903 6.1084
Li -3.7932 -0.0422 4.1439
Li -1.1451 -0.0919 3.5896
Li -1.4829 2.6189 3.7993
Li -4.4669 3.9513 7.4697
Li 2.1545 -0.2979 2.9835
Li -0.8295 1.0346 6.6539
Li -1.1673 3.7454 6.8636
Li 1.4808 3.6956 6.3093
Li 3.5051 2.3632 4.3448
Li 4.9726 0.5630 5.7331
Cr 0.0289 1.5655 1.6104
Cr 2.2770 0.6257 6.4129
Cr -4.5894 3.0278 4.0403
Cr -2.3413 2.0880 8.8428
B -6.8464 4.7942 2.7450
B -3.0724 2.0799 1.7046
B -3.2788 2.2014 5.8542
B -2.2471 4.9973 4.7173
B -0.0653 -1.3438 5.7359
B 0.9664 1.4520 4.5990
B 0.7601 1.5736 8.7486
B 4.5340 -1.1408 7.7082
O -6.0779 4.3861 3.8221
O -6.0526 1.7038 4.1603
O -4.1032 2.9144 2.1390
O -1.7591 2.4797 1.8852
O -2.5938 -1.4778 3.6383
O -3.4412 4.6616 4.1555
O -0.6520 -0.2784 1.6296
O -4.5215 2.8019 6.0120
O -3.0870 1.7680 4.5374
O 0.0321 1.5016 3.6096
O -1.8579 6.2922 5.0781
O -1.1008 -0.4361 5.5526
O -0.4545 -2.6388 5.3751
O -1.2116 4.0895 4.9006
O -2.3445 2.1518 6.8436
O 0.7746 1.8855 5.9158
O 2.2092 0.8515 4.4412
O -1.6604 3.9319 8.8236
O 1.1288 -1.0082 6.2977
O 0.2814 5.1312 6.8149
O -0.5533 1.1737 8.5680
O 1.7908 0.7391 8.3142
O 3.7402 1.9497 6.2929
O 3.7655 -0.7327 6.6310
```

Results
**Excess energy over the best structure of this formula in the dataset**: 0.00 eV per formula unit
**DOS(E_F)**: 0.00 states/eV/f.u.
**SG**: P2_1/c, No. 14
**Magnetic moment**: 3.00 μB/f.u.
**Uncorrected formation energy**: -2.239 eV per atom

=====

# 8
## Mg3CrB (PBEsol)

Data for Mg3CrB after structural relaxation.

Cell and atoms, written as extended XYZ:
```
5
Lattice="4.5432 0.0000 0.0000 0.0000 4.5432 0.0000 0.0000 0.0000 4.5432" Properties=species:S:1:pos:R:3 pbc="T T T"
Cr 2.2716 2.2716 2.2716
Mg 0.0000 2.2716 0.0000
Mg 0.0000 0.0000 2.2716
Mg 2.2716 0.0000 0.0000
B 0.0000 0.0000 0.0000
```

Results
**DOS(E_F)**: 1.99 states/eV/f.u.
**SG**: Pm-3m, No. 221
**Magnetic moment**: 5.01 μB/f.u.
**E_form**: 61 kJ/mol of atoms

=====

# 9
## MgCr2ReB (PBEsol)

Data for MgCr2ReB after structural relaxation.

Cell and atoms, written as extended XYZ:
```
5
Lattice="3.9441 0.0000 0.0000 0.0000 3.9441 0.0000 0.0000 0.0000 4.0615" Properties=species:S:1:pos:R:3 pbc="T T T"
Re 1.9720 1.9720 2.0307
Mg 0.0000 0.0000 2.0307
B 0.0000 0.0000 0.0000
Cr 0.0000 1.9720 0.0000
Cr 1.9720 0.0000 0.0000
```

Results
**DOS(E_F)**: 4.13 states/eV/f.u.
**SG**: P4/mmm, No. 123
**Magnetic moment**: 0.82 μB/f.u.
**E_form**: 70 kJ/mol of atoms

=====

# 10
## MgCrBRh2 (PBEsol)

Data for MgCrBRh2 after structural relaxation.

Cell and atoms, written as extended XYZ:
```
5
Lattice="4.2871 0.0000 0.0000 0.0000 4.2871 0.0000 0.0000 0.0000 4.8124" Properties=species:S:1:pos:R:3 pbc="T T T"
Cr 0.0000 0.0000 0.0000
Mg 0.0000 0.0000 2.4062
B 2.1435 2.1435 2.4062
Rh 0.0000 2.1435 0.0000
Rh 2.1435 0.0000 0.0000
```

Results
**DOS(E_F)**: 4.41 states/eV/f.u.
**SG**: P4/mmm, No. 123
**Magnetic moment**: 0.00 μB/f.u.
**E_form**: 160 kJ/mol of atoms

=====

# 11
## MgCrTcB2 (PBEsol)

Data for MgCrTcB2 after structural relaxation.

Cell and atoms, written as extended XYZ:
```
5
Lattice="-0.6049 1.6045 -3.6765 0.8368 -3.5858 -1.7026 -4.3465 -1.1215 0.2257" Properties=species:S:1:pos:R:3 pbc="T T T"
Cr -2.0573 -1.5514 -2.5767
Mg 0.0000 0.0000 0.0000
B 0.4184 -1.7929 -0.8513
B -0.3025 0.8023 -1.8382
Tc -2.1732 -0.5607 0.1129
```

Results
**DOS(E_F)**: 3.81 states/eV/f.u.
**SG**: P4/mmm, No. 123
**Magnetic moment**: 2.17 μB/f.u.
**E_form**: 232 kJ/mol of atoms

=====

# 12
## Mn3CrB (PBEsol)

Data for Mn3CrB after structural relaxation.

Cell and atoms, written as extended XYZ:
```
5
Lattice="3.7770 0.0000 0.0000 0.0000 3.7770 0.0000 0.0000 0.0000 3.7770" Properties=species:S:1:pos:R:3 pbc="T T T"
Cr 1.8885 1.8885 1.8885
B 0.0000 0.0000 0.0000
Mn 0.0000 1.8885 0.0000
Mn 0.0000 0.0000 1.8885
Mn 1.8885 0.0000 0.0000
```

Results
**DOS(E_F)**: 3.12 states/eV/f.u.
**SG**: Pm-3m, No. 221
**Magnetic moment**: 1.96 μB/f.u.
**E_form**: 17 kJ/mol of atoms